Record 1
VASP calculation (PBE-GGA) on crystalline SrFe at its relaxed geometry.

DOS(E_F) (states/eV/cell): 25.61
M_tot (μB/atom): 1.224
Symmetry: Fm-3m
Energy (eV per atom): -3.9394

POSCAR file:
```
SrFe
1.0
-5.1304 3.1615 -1.9220
-1.6041 -4.8615 -3.7152
-3.3341 -2.5259 4.7448
Sr Fe
4 4
Cartesian
-1.6670 -1.2630 2.3724
-2.5652 1.5808 -0.9610
-0.8020 -2.4308 -1.8576
-5.0343 -2.1130 -0.4461
-2.4691 -3.6937 0.5148
-4.2322 0.3178 1.4114
-3.3672 -0.8500 -2.8186
0.0000 0.0000 0.0000
```

***

Record 2
VASP calculation (PBE-GGA) on crystalline Sr3Fe at its relaxed geometry.

DOS(E_F) (states/eV/cell): 16.60
M_tot (μB/atom): 0.518
Symmetry: P6_3/mmc
Energy (eV per atom): -2.8057

POSCAR file:
```
Sr3Fe
1.0
3.8622 -6.6896 0.0000
3.8622 6.6896 0.0000
0.0000 0.0000 5.8821
Sr Fe
6 2
Cartesian
5.6705 -1.1858 4.4115
2.0539 -1.1858 4.4115
3.8622 4.3179 1.4705
2.0539 1.1858 1.4705
3.8622 -4.3179 4.4115
5.6705 1.1858 1.4705
3.8622 2.2299 4.4115
3.8622 -2.2299 1.4705
```

***

Record 3
VASP calculation (PBE-GGA) on crystalline Sr3Fe at its relaxed geometry.

DOS(E_F) (states/eV/cell): 10.46
M_tot (μB/atom): 0.545
Symmetry: I4/mmm
Energy (eV per atom): -2.7481

POSCAR file:
```
Sr3Fe
1.0
6.6290 0.1337 0.0000
2.2213 6.2472 0.0000
-4.4252 -3.1905 3.7684
Fe Sr
1 3
Cartesian
0.0000 0.0000 0.0000
3.3145 0.0669 1.8842
1.1107 3.1236 1.8842
4.4252 3.1905 0.0000
```